(1)
CrRu5 | Alexandria | GGA-PBE | optimized geometry; uncorrected energy = -9.33 eV/atom
1.0
-1.232 -2.340 -0.618
3.001 -4.407 4.739
-3.110 0.896 2.803
Cr Ru
1 5
Direct
0.000 0.001 0.000 Cr
0.553 0.894 0.500 Ru
0.221 0.557 0.500 Ru
0.337 0.325 0.000 Ru
0.891 0.218 0.500 Ru
0.664 0.672 0.000 Ru

***

(2)
Cr3Ru | Alexandria | GGA-PBE | optimized geometry; uncorrected energy = -9.41 eV/atom
1.0
-0.675 0.336 2.470
1.395 -3.669 0.880
4.021 1.974 1.852
Cr Ru
3 1
Direct
0.038 0.000 0.011 Cr
0.462 0.000 0.489 Cr
0.250 0.500 0.250 Cr
0.750 0.500 0.750 Ru

***

(3)
Cr2Ru | Alexandria | GGA-PBE | optimized geometry; uncorrected energy = -9.10 eV/atom
1.0
3.793 2.703 0.845
-3.792 0.775 2.725
1.346 -4.456 0.861
Cr Ru
4 2
Direct
0.363 0.137 0.500 Cr
0.863 0.363 0.227 Cr
0.637 0.863 0.500 Cr
0.137 0.637 0.773 Cr
0.750 0.750 0.000 Ru
0.250 0.250 0.000 Ru

***

(4)
CrRu | Alexandria | GGA-PBE | optimized geometry; uncorrected energy = -9.32 eV/atom
1.0
2.858 0.000 0.000
0.000 2.858 0.000
0.000 0.000 6.321
Ru Cr
2 2
Direct
0.000 0.000 0.472 Ru
0.500 0.500 0.778 Ru
0.500 0.500 0.226 Cr
0.000 0.000 0.024 Cr

***

(5)
Cr2Ru | Alexandria | GGA-PBE | optimized geometry; uncorrected energy = -9.31 eV/atom
1.0
-2.742 2.735 -1.268
-1.182 -3.785 0.940
-0.405 0.742 2.476
Cr Ru
2 1
Direct
0.667 0.333 0.500 Cr
0.333 0.667 0.500 Cr
0.000 0.000 0.000 Ru

***

(6)
CrRu | Alexandria | GGA-PBE | optimized geometry; uncorrected energy = -8.42 eV/atom
1.0
-1.297 -2.832 -2.717
2.896 -0.979 2.782
-3.302 -1.334 2.967
Cr Ru
2 2
Direct
0.333 0.667 0.250 Cr
0.667 0.333 0.750 Cr
0.667 0.333 0.250 Ru
0.333 0.667 0.750 Ru

***

Which of these has the highest uncorrected energy? number 6